Compound: MoP2SeO
Source: Alexandria
Functional: PBE+U
Structure: relaxed

Cell lengths 4.8650, 4.8650, 3.7968 Å; angles 90.00, 90.00, 90.00 degrees
Last column: nearest neighbours and their distance in Å.
Fractional coordinates of all 5 atoms:
Se1 0.5000 0.5000 0.5000  8 P 3.09, 4 O 3.44
P1 0.0000 0.5000 0.0000  2 Mo 2.43
P2 0.5000 0.0000 0.0000  2 Mo 2.43
Mo1 0.0000 0.0000 0.0000  2 O 1.90
O1 0.0000 0.0000 0.5000  2 Mo 1.90

- VASP energy (eV/atom) = -5.116
- energy above the most stable polymorph in this dataset (kJ/mol of formula units) = 0
- DOS at the Fermi energy (states/eV/atom) = 0.420
- SG = No. 123